(1)
Below is a relaxed NaCd2NiAs crystal, with properties calculated at the PBE level.

It has space group P4/mmm (No. 123), with a = 5.047 Å, b = 5.047 Å, c = 4.524 Å, α = 90.00°, β = 90.00° and γ = 90.00°. The distinct sites, in fractional coordinates, are Na at (0.000, 0.000, 0.000), Cd at (0.000, 0.500, 0.500), Ni at (0.500, 0.500, 0.500) and As at (0.500, 0.500, 0.000).

The value obtained for the formation energy is -0.046 eV per atom. The calculated volume is 115 Å³ per cell.

(2)
Below is a relaxed LiPmPrGe crystal, with properties calculated at the PBE level.

It has space group F-43m (No. 216), with a = 7.357 Å, b = 7.357 Å, c = 7.357 Å, α = 90.00°, β = 90.00° and γ = 90.00°. The distinct sites, in fractional coordinates, are Li at (0.000, 0.000, 0.000), Pm at (0.250, 0.250, 0.750), Pr at (0.250, 0.250, 0.250) and Ge at (0.000, 0.000, 0.500).

The value obtained for the formation energy is -0.419 eV per atom. The calculated volume is 398 Å³ per cell.

(3)
Below is a relaxed SnB crystal, with properties calculated at the PBE level.

It has space group Pm-3n (No. 223), with a = 6.544 Å, b = 6.544 Å, c = 6.544 Å, α = 90.00°, β = 90.00° and γ = 90.00°. The distinct sites, in fractional coordinates, are Sn at (0.000, 0.250, 0.500) and B at (0.000, 0.500, 0.250).

The value obtained for the formation energy is 0.934 eV per atom. The calculated volume is 280 Å³ per cell.

(4)
Below is a relaxed Nb2V5Ga2W crystal, with properties calculated at the PBE level.

It has space group P4/mbm (No. 127), with a = 9.389 Å, b = 9.389 Å, c = 3.508 Å, α = 90.00°, β = 90.00° and γ = 90.00°. The distinct sites, in fractional coordinates, are Nb at (0.167, 0.333, 0.000), V at (0.000, 0.500, 0.500), V at (0.068, 0.807, 0.500), Ga at (0.131, 0.631, 0.000) and W at (0.000, 0.000, 0.000).

The value obtained for the formation energy is 0.043 eV per atom. The calculated volume is 309 Å³ per cell.

Number 1: DFT total energy -2.76 eV per atom, DOS(E_F) 0.471 states/eV per atom, magnetic moment 0.0 μB per cell. Number 2: DFT total energy -4.43 eV per atom, DOS(E_F) 0.696 states/eV per atom, magnetic moment 0.0 μB per cell. Number 3: DFT total energy -4.41 eV per atom, DOS(E_F) 0.641 states/eV per atom, magnetic moment 0.0 μB per cell. Number 4: DFT total energy -8.43 eV per atom, DOS(E_F) 1.023 states/eV per atom, magnetic moment 0.0 μB per cell.